Entry from Alexandria via LeMat-Bulk: an optimized crystal structure of SmHo6Er3Tm2 (GGA-PBE).

Values from the calculation:
energy relative to the elements = 24 kJ/mol of formula units
theoretical density = 8.9 Mg/m³

Cell: 6.0913 6.0913 11.6684 Å, 85.04 85.04 119.90°
Sites, in units of the cell vectors:
Ho  0.9160  0.5821  0.2509
Ho  0.4179  0.0840  0.7491
Ho  0.5821  0.9160  0.2509
Ho  0.0840  0.4179  0.7491
Ho  0.7499  0.7499  0.7491
Ho  0.2501  0.2501  0.2509
Er  0.1670  0.8330  0.5000
Er  0.5000  0.5000  0.5000
Er  0.8330  0.1670  0.5000
Tm  0.3333  0.6667  0.0000
Tm  0.6667  0.3333  0.0000
Sm  0.0000  0.0000  0.0000